Record 1
DFT (PBE-GGA) results for a relaxed structure of K3Pr2PaTe6.

E_tot	-56.1	eV per formula unit
formation energy from raw total energies	-14.9	eV/f.u.

Unit cell a=7.924 b=7.924 c=8.726 alpha=98.71 beta=98.71 gamma=119.99
Positions (direct):
K1 0.000 0.000 0.000
K2 0.330 0.670 0.000
K3 0.670 0.330 0.000
Pr1 0.166 0.834 0.500
Pr2 0.834 0.166 0.500
Pa1 0.500 0.500 0.500
Te1 0.104 0.428 0.284
Te2 0.248 0.248 0.717
Te3 0.428 0.104 0.284
Te4 0.572 0.896 0.716
Te5 0.752 0.752 0.283
Te6 0.896 0.572 0.716

Record 2
DFT (PBE-GGA) results for a relaxed structure of K3PrPa2Te6.

E_tot	-58.9	eV per formula unit
formation energy from raw total energies	-12.9	eV/f.u.

Unit cell a=7.776 b=7.776 c=8.805 alpha=98.47 beta=98.47 gamma=120.01
Positions (direct):
K1 0.000 0.000 0.000
K2 0.337 0.663 0.000
K3 0.663 0.337 0.000
Pr1 0.500 0.500 0.500
Pa1 0.167 0.833 0.500
Pa2 0.833 0.167 0.500
Te1 0.086 0.428 0.283
Te2 0.230 0.230 0.715
Te3 0.428 0.086 0.283
Te4 0.572 0.914 0.717
Te5 0.770 0.770 0.285
Te6 0.914 0.572 0.717

Record 3
DFT (PBE-GGA) results for a relaxed structure of K2PrPaTe4.

E_tot	-38.3	eV per formula unit
formation energy from raw total energies	-9.3	eV/f.u.

Unit cell a=7.877 b=4.520 c=8.752 alpha=90.00 beta=107.22 gamma=90.00
Positions (direct):
K1 0.000 0.000 0.000
K2 0.500 0.500 0.000
Pr1 0.000 0.500 0.500
Pa1 0.500 0.000 0.500
Te1 0.248 0.000 0.717
Te2 0.269 0.500 0.285
Te3 0.731 0.500 0.715
Te4 0.752 0.000 0.283

Record 4
DFT (PBE-GGA) results for a relaxed structure of K4Pr3PaTe8.

E_tot	-73.9	eV per formula unit
formation energy from raw total energies	-20.6	eV/f.u.

Unit cell a=9.856 b=9.856 c=9.856 alpha=55.59 beta=55.59 gamma=55.59
Positions (direct):
K1 0.000 0.000 0.000
K2 0.000 0.500 0.500
K3 0.500 0.000 0.500
K4 0.500 0.500 0.000
Pr1 0.000 0.000 0.500
Pr2 0.000 0.500 0.000
Pr3 0.500 0.000 0.000
Pa1 0.500 0.500 0.500
Te1 0.240 0.240 0.240
Te2 0.246 0.735 0.735
Te3 0.265 0.265 0.754
Te4 0.265 0.754 0.265
Te5 0.735 0.246 0.735
Te6 0.735 0.735 0.246
Te7 0.754 0.265 0.265
Te8 0.760 0.760 0.760